Density functional theory data (PBE) for a relaxed structure of RbTeAu.

Output
Total moment in μB/cell: 0.00
E_form (uncorrected) in kJ/mol of formula units: -195.5

Unit cell a=6.0539 b=10.7179 c=7.3450 alpha=90.00 beta=90.00 gamma=90.00
Fractional coordinates of all 12 atoms:
Rb: 0.0000 0.2492 0.0000
Rb: 0.0000 0.7508 0.0000
Rb: 0.5000 0.2508 0.5000
Rb: 0.5000 0.7492 0.5000
Te: 0.0000 0.0000 0.4520
Te: 0.0000 0.5000 0.5436
Te: 0.5000 0.0000 0.0436
Te: 0.5000 0.5000 0.9520
Au: 0.2500 0.0000 0.7478
Au: 0.2500 0.5000 0.2478
Au: 0.7500 0.0000 0.7478
Au: 0.7500 0.5000 0.2478